(1)
CeTlNi | GGA-PBE | relaxed

Geometry as CIF:
```
data_CeTlNi
_chemical_formula_sum 'Ce2 Tl2 Ni2'
_space_group_name_H-M_alt 'I 4 m m'
_space_group_IT_number 107
_space_group_name_Hall 'I 4 -2'
_cell_length_a 3.299
_cell_length_b 3.299
_cell_length_c 11.799
_cell_angle_alpha 90.00
_cell_angle_beta 90.00
_cell_angle_gamma 90.00
loop_
_atom_site_label
_atom_site_type_symbol
_atom_site_fract_x
_atom_site_fract_y
_atom_site_fract_z
_atom_site_occupancy
Ce1 Ce 0.000 0.000 0.000 1
Tl1 Tl 0.000 0.000 0.716 1
Ni1 Ni 0.000 0.000 0.361 1
```

**Calculated total energy**: -0.356 Ry/atom
**Energy relative to the elements**: -145 meV per atom
**Volume**: 128 Å³ per cell


(2)
Eu2MgTl | GGA-PBE | relaxed

Geometry as CIF:
```
data_Eu2MgTl
_chemical_formula_sum 'Eu8 Mg4 Tl4'
_space_group_name_H-M_alt 'F m -3 m'
_space_group_IT_number 225
_space_group_name_Hall '-F 4 2 3'
_cell_length_a 7.969
_cell_length_b 7.969
_cell_length_c 7.969
_cell_angle_alpha 90.00
_cell_angle_beta 90.00
_cell_angle_gamma 90.00
loop_
_atom_site_label
_atom_site_type_symbol
_atom_site_fract_x
_atom_site_fract_y
_atom_site_fract_z
_atom_site_occupancy
Eu1 Eu 0.250 0.250 0.250 1
Mg1 Mg 0.000 0.000 0.000 1
Tl1 Tl 0.000 0.000 0.500 1
```

**Calculated total energy**: -0.470 Ry/atom
**Energy relative to the elements**: -267 meV per atom
**Volume**: 506 Å³ per cell


(3)
Ni2PdPt4 | GGA-PBE | relaxed

Geometry as CIF:
```
data_Ni2PdPt4
_chemical_formula_sum 'Ni4 Pd2 Pt8'
_space_group_name_H-M_alt 'I 4/m m m'
_space_group_IT_number 139
_space_group_name_Hall '-I 4 2'
_cell_length_a 3.712
_cell_length_b 3.712
_cell_length_c 18.265
_cell_angle_alpha 90.00
_cell_angle_beta 90.00
_cell_angle_gamma 90.00
loop_
_atom_site_label
_atom_site_type_symbol
_atom_site_fract_x
_atom_site_fract_y
_atom_site_fract_z
_atom_site_occupancy
Ni1 Ni 0.000 0.000 0.140 1
Pd1 Pd 0.000 0.000 0.500 1
Pt1 Pt 0.000 0.000 0.362 1
Pt2 Pt 0.000 0.500 0.250 1
```

**Calculated total energy**: -0.393 Ry/atom
**Energy relative to the elements**: 493 meV per atom
**Energy above the most stable polymorph in this dataset**: 372 meV per atom
**Volume**: 252 Å³ per cell